VASP calculation (PBE) on a geometry-optimized Hf3TiZn2C structure.

Unit cell a=7.529 b=7.529 c=7.529 alpha=147.91 beta=146.43 gamma=47.12
Positions (direct):
Hf 0.000 0.000 0.000
Hf 0.334 0.834 0.500
Hf 0.666 0.166 0.500
Ti 0.500 0.500 0.000
Zn 0.133 0.633 0.500
Zn 0.867 0.367 0.500
C 0.500 0.000 0.500

Summary:
Calculated formation energy = -240 meV per atom

VASP calculation (PBE) on a geometry-optimized TaCr3Si structure.

Unit cell a=4.676 b=4.676 c=4.676 alpha=90.00 beta=90.00 gamma=90.00
Positions (direct):
Ta 0.000 0.000 0.000
Cr 0.000 0.000 0.500
Cr 0.000 0.500 0.000
Cr 0.500 0.000 0.000
Si 0.500 0.500 0.500

Summary:
Formation energy (no corrections) = 1.7757 eV/atom

VASP calculation (PBE) on a geometry-optimized VCrIr structure.

Unit cell a=6.003 b=6.003 c=6.003 alpha=154.38 beta=154.38 gamma=36.54
Positions (direct):
V 0.000 0.000 0.000
Cr 0.672 0.672 0.000
Ir 0.326 0.326 0.000

Summary:
Calculated formation energy = -147 meV per atom

VASP calculation (PBE) on a geometry-optimized TaInTc structure.

Unit cell a=4.593 b=4.593 c=2.912 alpha=90.00 beta=90.00 gamma=120.00
Positions (direct):
Ta 0.000 0.000 0.000
In 0.667 0.333 0.582
Tc 0.333 0.667 0.241

Summary:
Calculated formation energy = 144 meV per atom

VASP calculation (PBE) on a geometry-optimized RbLiMnI2 structure.

Unit cell a=5.803 b=5.803 c=5.205 alpha=90.00 beta=90.00 gamma=90.00
Positions (direct):
Rb 0.000 0.000 0.000
Li 0.500 0.500 0.000
Mn 0.500 0.500 0.500
I 0.000 0.500 0.500
I 0.500 0.000 0.500

Summary:
Formation energy (no corrections) = -0.3059 eV/atom

VASP calculation (PBE) on a geometry-optimized CdAu structure.

Unit cell a=4.471 b=4.471 c=4.471 alpha=60.00 beta=60.00 gamma=60.00
Positions (direct):
Cd 0.000 0.000 0.000
Au 0.750 0.750 0.750

Summary:
Calculated formation energy = 218 meV per atom